# BeGa2GePb, optimized geometry, DFT GGA-PBE
data_BeGa2GePb
_chemical_formula_sum 'Be1 Ga2 Ge1 Pb1'
_symmetry_space_group_name_H-M 'P 1'
_symmetry_Int_Tables_number 1
_cell_length_a 5.4249
_cell_length_b 5.6463
_cell_length_c 5.4249
_cell_angle_alpha 90.00
_cell_angle_beta 90.00
_cell_angle_gamma 90.00
loop_
_symmetry_equiv_pos_as_xyz
'x,y,z'
loop_
_atom_site_label
_atom_site_fract_x
_atom_site_fract_y
_atom_site_fract_z
Ga1 0.5000 0.0000 0.0000
Ga2 0.0000 0.0000 0.5000
Ge1 0.0000 0.5000 0.0000
Pb1 0.0000 0.0000 0.0000
Be1 0.5000 0.5000 0.5000
# - spin magnetization (Bohr magnetons per cell) = 0.0
# - total energy (eV per cell) = -11.747
# - energy relative to the elements (eV per atom) = 1.27
# - density (g/cm3) = 4.3
# - DOS(E_F) (states/eV per cell) = 2.82

# Pu2Be4GaGe3, optimized geometry, DFT GGA-PBE
data_Pu2Be4GaGe3
_chemical_formula_sum 'Pu2 Be4 Ga1 Ge3'
_symmetry_space_group_name_H-M 'P 1'
_symmetry_Int_Tables_number 1
_cell_length_a 3.9984
_cell_length_b 3.9984
_cell_length_c 9.6672
_cell_angle_alpha 90.00
_cell_angle_beta 90.00
_cell_angle_gamma 90.00
loop_
_symmetry_equiv_pos_as_xyz
'x,y,z'
loop_
_atom_site_label
_atom_site_fract_x
_atom_site_fract_y
_atom_site_fract_z
Ge1 0.0000 0.5000 0.1308
Ge2 0.0000 0.0000 0.5000
Ge3 0.5000 0.0000 0.8692
Be1 0.5000 0.0000 0.6350
Be2 0.0000 0.5000 0.3650
Be3 0.0000 0.0000 0.0000
Be4 0.5000 0.5000 0.0000
Ga1 0.5000 0.5000 0.5000
Pu1 0.0000 0.5000 0.7525
Pu2 0.5000 0.0000 0.2475
# - spin magnetization (Bohr magnetons per cell) = 11.0
# - total energy (eV per cell) = -63.160
# - energy relative to the elements (eV per atom) = -0.27
# - density (g/cm3) = 8.7
# - DOS(E_F) (states/eV per cell) = 17.37